(1)
# CaMn2Ag, relaxed, DFT PBE
data_CaMn2Ag
_space_group_name_H-M_alt 'P 1'
_space_group_IT_number 1
_cell_length_a 4.147
_cell_length_b 4.147
_cell_length_c 4.522
_cell_angle_alpha 90.00
_cell_angle_beta 90.00
_cell_angle_gamma 90.00
loop_
_space_group_symop_operation_xyz
'x,y,z'
loop_
_atom_site_label
_atom_site_type_symbol
_atom_site_fract_x
_atom_site_fract_y
_atom_site_fract_z
Ca1 Ca 0.000 0.000 0.000
Mn1 Mn 0.000 0.500 0.500
Mn2 Mn 0.500 0.000 0.500
Ag1 Ag 0.500 0.500 0.000
# - ΔH_f (0 K) (kJ/mol of formula units) = 168
# - SG = P4/mmm (123)
# - density of states at the Fermi level (states/eV per atom) = 1.09

(2)
# NdSm2Bi, relaxed, DFT PBE
data_NdSm2Bi
_space_group_name_H-M_alt 'P 1'
_space_group_IT_number 1
_cell_length_a 4.722
_cell_length_b 4.680
_cell_length_c 12.083
_cell_angle_alpha 90.00
_cell_angle_beta 101.27
_cell_angle_gamma 90.00
loop_
_space_group_symop_operation_xyz
'x,y,z'
loop_
_atom_site_label
_atom_site_type_symbol
_atom_site_fract_x
_atom_site_fract_y
_atom_site_fract_z
Nd1 Nd 0.194 0.250 0.388
Nd2 Nd 0.806 0.750 0.612
Sm1 Sm 0.063 0.750 0.125
Sm2 Sm 0.441 0.750 0.882
Sm3 Sm 0.559 0.250 0.118
Sm4 Sm 0.937 0.250 0.875
Bi1 Bi 0.332 0.250 0.665
Bi2 Bi 0.668 0.750 0.335
# - ΔH_f (0 K) (kJ/mol of formula units) = -175
# - SG = P2_1/m (11)
# - density of states at the Fermi level (states/eV per atom) = 1.29

(3)
# YTaBe2, relaxed, DFT PBE
data_YTaBe2
_space_group_name_H-M_alt 'P 1'
_space_group_IT_number 1
_cell_length_a 6.487
_cell_length_b 6.487
_cell_length_c 6.487
_cell_angle_alpha 90.00
_cell_angle_beta 90.00
_cell_angle_gamma 90.00
loop_
_space_group_symop_operation_xyz
'x,y,z'
loop_
_atom_site_label
_atom_site_type_symbol
_atom_site_fract_x
_atom_site_fract_y
_atom_site_fract_z
Y1 Y 0.000 0.000 0.000
Y2 Y 0.000 0.500 0.500
Y3 Y 0.500 0.000 0.500
Y4 Y 0.500 0.500 0.000
Ta1 Ta 0.250 0.250 0.250
Ta2 Ta 0.250 0.750 0.750
Ta3 Ta 0.750 0.250 0.750
Ta4 Ta 0.750 0.750 0.250
Be1 Be 0.000 0.000 0.500
Be2 Be 0.000 0.500 0.000
Be3 Be 0.250 0.250 0.750
Be4 Be 0.250 0.750 0.250
Be5 Be 0.500 0.000 0.000
Be6 Be 0.500 0.500 0.500
Be7 Be 0.750 0.250 0.250
Be8 Be 0.750 0.750 0.750
# - ΔH_f (0 K) (kJ/mol of formula units) = 353
# - SG = F-43m (216)
# - density of states at the Fermi level (states/eV per atom) = 1.23

(4)
# K2HoUS6, relaxed, DFT PBE
data_K2HoUS6
_space_group_name_H-M_alt 'P 1'
_space_group_IT_number 1
_cell_length_a 7.367
_cell_length_b 7.365
_cell_length_c 12.760
_cell_angle_alpha 90.00
_cell_angle_beta 125.25
_cell_angle_gamma 90.00
loop_
_space_group_symop_operation_xyz
'x,y,z'
loop_
_atom_site_label
_atom_site_type_symbol
_atom_site_fract_x
_atom_site_fract_y
_atom_site_fract_z
K1 K 0.250 0.002 0.250
K2 K 0.250 0.498 0.750
K3 K 0.750 0.502 0.250
K4 K 0.750 0.998 0.750
Ho1 Ho 0.000 0.000 0.500
Ho2 Ho 0.000 0.500 0.000
U1 U 0.500 0.000 0.000
U2 U 0.500 0.500 0.500
S1 S 0.248 0.000 0.757
S2 S 0.248 0.500 0.257
S3 S 0.252 0.734 0.505
S4 S 0.252 0.766 0.005
S5 S 0.270 0.248 0.505
S6 S 0.270 0.252 0.005
S7 S 0.730 0.748 0.995
S8 S 0.730 0.752 0.495
S9 S 0.748 0.234 0.995
S10 S 0.748 0.266 0.495
S11 S 0.752 0.000 0.243
S12 S 0.752 0.500 0.743
# - SG = P2_1/c (14)
# - ΔE_f (raw) (eV/atom) = -1.33
# - density of states at the Fermi level (states/eV per atom) = 0.64

(5)
# MgFe2Ni, relaxed, DFT PBE
data_MgFe2Ni
_space_group_name_H-M_alt 'P 1'
_space_group_IT_number 1
_cell_length_a 2.579
_cell_length_b 4.194
_cell_length_c 4.845
_cell_angle_alpha 90.00
_cell_angle_beta 101.48
_cell_angle_gamma 90.00
loop_
_space_group_symop_operation_xyz
'x,y,z'
loop_
_atom_site_label
_atom_site_type_symbol
_atom_site_fract_x
_atom_site_fract_y
_atom_site_fract_z
Mg1 Mg 0.000 0.000 0.000
Fe1 Fe 0.270 0.500 0.737
Fe2 Fe 0.730 0.500 0.263
Ni1 Ni 0.500 0.000 0.500
# - ΔH_f (0 K) (kJ/mol of formula units) = 53
# - SG = P2/m (10)
# - density of states at the Fermi level (states/eV per atom) = 0.86

(6)
# TaAgHg2, relaxed, DFT PBE
data_TaAgHg2
_space_group_name_H-M_alt 'P 1'
_space_group_IT_number 1
_cell_length_a 2.932
_cell_length_b 4.545
_cell_length_c 6.119
_cell_angle_alpha 90.00
_cell_angle_beta 103.46
_cell_angle_gamma 90.00
loop_
_space_group_symop_operation_xyz
'x,y,z'
loop_
_atom_site_label
_atom_site_type_symbol
_atom_site_fract_x
_atom_site_fract_y
_atom_site_fract_z
Ta1 Ta 0.000 0.000 0.000
Ag1 Ag 0.636 0.500 0.269
Hg1 Hg 0.246 0.000 0.487
Hg2 Hg 0.399 0.500 0.793
# - ΔH_f (0 K) (kJ/mol of formula units) = 152
# - SG = Pm (6)
# - density of states at the Fermi level (states/eV per atom) = 0.40

Copy entry 4 word for word.
# K2HoUS6, relaxed, DFT PBE
data_K2HoUS6
_space_group_name_H-M_alt 'P 1'
_space_group_IT_number 1
_cell_length_a 7.367
_cell_length_b 7.365
_cell_length_c 12.760
_cell_angle_alpha 90.00
_cell_angle_beta 125.25
_cell_angle_gamma 90.00
loop_
_space_group_symop_operation_xyz
'x,y,z'
loop_
_atom_site_label
_atom_site_type_symbol
_atom_site_fract_x
_atom_site_fract_y
_atom_site_fract_z
K1 K 0.250 0.002 0.250
K2 K 0.250 0.498 0.750
K3 K 0.750 0.502 0.250
K4 K 0.750 0.998 0.750
Ho1 Ho 0.000 0.000 0.500
Ho2 Ho 0.000 0.500 0.000
U1 U 0.500 0.000 0.000
U2 U 0.500 0.500 0.500
S1 S 0.248 0.000 0.757
S2 S 0.248 0.500 0.257
S3 S 0.252 0.734 0.505
S4 S 0.252 0.766 0.005
S5 S 0.270 0.248 0.505
S6 S 0.270 0.252 0.005
S7 S 0.730 0.748 0.995
S8 S 0.730 0.752 0.495
S9 S 0.748 0.234 0.995
S10 S 0.748 0.266 0.495
S11 S 0.752 0.000 0.243
S12 S 0.752 0.500 0.743
# - SG = P2_1/c (14)
# - ΔE_f (raw) (eV/atom) = -1.33
# - density of states at the Fermi level (states/eV per atom) = 0.64

The lowest density of states at the Fermi level belongs to which entry?
TaAgHg2

Among the records above, which one has the lowest density of states at the Fermi level?
TaAgHg2

density of states at the Fermi level of number 3 (YTaBe2)?
1.23 states/eV per atom